VASP calculation (PBE-GGA) on crystalline K6Rb2InAu at its relaxed geometry.

a b c (Å): 9.6464 9.6760 13.6682
angles (deg): 90.00 90.00 90.00
With the nearest neighbours (Å) after each atom.
Space group Immm (No. 71)
Asymmetric unit:
K1 0.0000 0.0000 0.2433 [4 per cell]  1 Au 3.33, 1 In 3.51
K2 0.2434 0.2435 0.0000 [8 per cell]  1 Au 3.33, 1 In 3.51
Rb1 0.0000 0.5000 0.2499 [4 per cell]  12 K 4.82-4.84
In1 0.0000 0.0000 0.5000 [2 per cell]  6 K 3.51
Au1 0.0000 0.0000 0.0000 [2 per cell]  6 K 3.33

Values from the calculation:
Magnetic moment   0.00 μB/atom
Formation energy from the elements   -0.045 eV per atom
Theoretical density   1.9 g cm⁻³
Volume   1275.8 Å³/cell

VASP calculation (PBE-GGA) on crystalline CeMoP2Ir at its relaxed geometry.

a b c (Å): 4.1661 4.1661 9.9102
angles (deg): 90.00 90.00 90.00
With the nearest neighbours (Å) after each atom.
Space group I-4m2 (No. 119)
Asymmetric unit:
Ce1 0.0000 0.0000 0.0000 [2 per cell]  8 P 3.22, 4 Mo 3.24, 4 Ir 3.24
Mo1 0.0000 0.5000 0.2500 [2 per cell]  4 P 2.40
P1 0.0000 0.0000 0.3699 [4 per cell]  2 Mo 2.40, 2 Ir 2.40, 1 P 2.58
Ir1 0.0000 0.5000 0.7500 [2 per cell]  4 P 2.40

Values from the calculation:
Magnetic moment   0.08 μB/atom
Formation energy from the elements   -0.875 eV per atom
Theoretical density   9.5 g cm⁻³
Volume   172.0 Å³/cell

VASP calculation (PBE-GGA) on crystalline SrTl2Cu at its relaxed geometry.

a b c (Å): 8.1867 4.7101 6.4828
angles (deg): 90.00 114.75 90.00
With the nearest neighbours (Å) after each atom.
Space group Cm (No. 8)
Asymmetric unit:
Sr1 0.0000 0.0000 0.0000 [2 per cell]  4 Cu 3.34-3.74, 6 Tl 3.42-3.43
Tl1 0.0500 0.5000 0.6484 [2 per cell]  3 Cu 2.77
Tl2 0.2842 0.5000 0.3521 [2 per cell]  3 Cu 3.00-3.02, 3 Tl 3.23-3.24
Cu1 0.1901 0.0000 0.5672 [2 per cell]  6 Tl 2.77-3.02

Values from the calculation:
Magnetic moment   0.00 μB/atom
Formation energy from the elements   -0.123 eV per atom
Theoretical density   8.2 g cm⁻³
Volume   227.0 Å³/cell

VASP calculation (PBE-GGA) on crystalline La6Er5Tm at its relaxed geometry.

a b c (Å): 5.2398 9.8141 15.6961
angles (deg): 90.00 90.00 90.00
With the nearest neighbours (Å) after each atom.
Space group Immm (No. 71)
Asymmetric unit:
La1 0.0000 0.2493 0.0000 [4 per cell]  6 Er 3.58-3.59, 2 Tm 3.58, 4 La 3.70
La2 0.0000 0.2504 0.3334 [8 per cell]  1 Tm 3.58, 7 Er 3.59, 4 La 3.70
Er1 0.0000 0.0000 0.1668 [4 per cell]  8 La 3.58-3.59, 2 Er 3.70, 2 Tm 3.70
Er2 0.0000 0.0000 0.5000 [2 per cell]  8 La 3.59, 4 Er 3.70
Er3 0.0000 0.5000 0.1665 [4 per cell]  8 La 3.59, 4 Er 3.70
Tm1 0.0000 0.5000 0.5000 [2 per cell]  8 La 3.58, 4 Er 3.70

Values from the calculation:
Magnetic moment   0.00 μB/atom
Formation energy from the elements   0.024 eV per atom
Theoretical density   7.6 g cm⁻³
Volume   807.2 Å³/cell

VASP calculation (PBE-GGA) on crystalline LaVN3 at its relaxed geometry.

a b c (Å): 3.6848 3.6848 12.1125
angles (deg): 90.00 90.00 120.00
With the nearest neighbours (Å) after each atom.
Space group P6_3/mmc (No. 194)
Asymmetric unit:
La1 0.0000 0.0000 0.0000 [2 per cell]  6 N 2.45
V1 0.3333 0.6667 0.2500 [2 per cell]  2 N 1.82
N1 0.0000 0.0000 0.2500 [2 per cell]  3 V 2.13
N2 0.3333 0.6667 0.1000 [4 per cell]  1 V 1.82

Values from the calculation:
Magnetic moment   0.20 μB/atom
Theoretical density   5.4 g cm⁻³
Formation energy (no corrections)   -0.56 eV/atom
Volume   142.4 Å³/cell

VASP calculation (PBE-GGA) on crystalline KZnFe2 at its relaxed geometry.

a b c (Å): 2.7668 2.7668 30.2578
angles (deg): 90.00 90.00 120.00
With the nearest neighbours (Å) after each atom.
Space group R-3m (No. 166, hexagonal axes)
Asymmetric unit:
K1 0.0000 0.0000 0.0000 [3 per cell]  6 K 2.77
Zn1 0.0000 0.0000 0.5000 [3 per cell]  6 Fe 2.65, 6 Zn 2.77
Fe1 0.0000 0.0000 0.2366 [6 per cell]  3 Zn 2.65, 6 Fe 2.77

Values from the calculation:
Magnetic moment   1.25 μB/atom
Formation energy from the elements   0.799 eV per atom
Theoretical density   5.4 g cm⁻³
Volume   200.6 Å³/cell

VASP calculation (PBE-GGA) on crystalline AcGa2Ni5 at its relaxed geometry.

a b c (Å): 3.8185 6.6621 9.7141
angles (deg): 90.00 90.00 90.00
With the nearest neighbours (Å) after each atom.
Space group Immm (No. 71)
Asymmetric unit:
Ac1 0.0000 0.0000 0.0000 [2 per cell]  10 Ni 3.13-3.33, 4 Ga 3.18
Ga1 0.0000 0.5000 0.2381 [4 per cell]  7 Ni 2.31-2.48
Ni1 0.0000 0.1845 0.3635 [8 per cell]  3 Ga 2.43-2.48, 4 Ni 2.46-2.65
Ni2 0.0000 0.5000 0.0000 [2 per cell]  2 Ga 2.31

Values from the calculation:
Magnetic moment   0.00 μB/atom
Formation energy from the elements   -0.296 eV per atom
Theoretical density   8.9 g cm⁻³
Volume   247.1 Å³/cell

VASP calculation (PBE-GGA) on crystalline KSc2BiAu at its relaxed geometry.

a b c (Å): 4.9138 4.9138 5.6539
angles (deg): 90.00 90.00 90.00
With the nearest neighbours (Å) after each atom.
Space group P4/mmm (No. 123)
Asymmetric unit:
K1 0.0000 0.0000 0.0000 [1 per cell]  4 Sc 2.46
Sc1 0.0000 0.5000 0.0000 [2 per cell]  2 K 2.46
Bi1 0.0000 0.0000 0.5000 [1 per cell]  2 K 2.83
Au1 0.5000 0.5000 0.5000 [1 per cell]  4 Bi 3.47, 8 Sc 3.75

Values from the calculation:
Magnetic moment   0.00 μB/atom
Formation energy from the elements   1.314 eV per atom
Theoretical density   6.5 g cm⁻³
Energy above the most stable polymorph in this dataset   1214 meV/atom
Volume   136.5 Å³/cell